(1)
# Ce2SmHg2 | Alexandria | PBE-GGA | relaxed
data_Ce2SmHg2
_chemical_formula_sum 'Ce2 Sm1 Hg2'
_cell_length_a 4.2737
_cell_length_b 4.2737
_cell_length_c 8.1136
_cell_angle_alpha 103.03
_cell_angle_beta 103.03
_cell_angle_gamma 92.54
_symmetry_space_group_name_H-M 'P 1'
_symmetry_Int_Tables_number 1
loop_
_symmetry_equiv_pos_as_xyz
'x,y,z'
loop_
_atom_site_label
_atom_site_type_symbol
_atom_site_fract_x
_atom_site_fract_y
_atom_site_fract_z
_atom_site_occupancy
Ce1 Ce 0.2200 0.7800 0.5000 1
Ce2 Ce 0.7800 0.2200 0.5000 1
Sm1 Sm 0.0000 0.0000 0.0000 1
Hg1 Hg 0.5853 0.5853 0.1873 1
Hg2 Hg 0.4147 0.4147 0.8127 1
# M_tot	1.04	μB per formula unit
# formation energy from the elements	-0.16	eV per atom
# SG	C2/m, No. 12



(2)
# Ce2Sm2Hg3 | Alexandria | PBE-GGA | relaxed
data_Ce2Sm2Hg3
_chemical_formula_sum 'Ce2 Sm2 Hg3'
_cell_length_a 3.8254
_cell_length_b 3.6332
_cell_length_c 13.8731
_cell_angle_alpha 90.00
_cell_angle_beta 82.08
_cell_angle_gamma 90.00
_symmetry_space_group_name_H-M 'P 1'
_symmetry_Int_Tables_number 1
loop_
_symmetry_equiv_pos_as_xyz
'x,y,z'
loop_
_atom_site_label
_atom_site_type_symbol
_atom_site_fract_x
_atom_site_fract_y
_atom_site_fract_z
_atom_site_occupancy
Ce1 Ce 0.7136 0.5000 0.5728 1
Ce2 Ce 0.2864 0.5000 0.4272 1
Sm1 Sm 0.5708 0.5000 0.8584 1
Sm2 Sm 0.4292 0.5000 0.1416 1
Hg1 Hg 0.8606 0.0000 0.2788 1
Hg2 Hg 0.0000 0.0000 0.0000 1
Hg3 Hg 0.1394 0.0000 0.7212 1
# M_tot	1.29	μB per formula unit
# formation energy from the elements	-0.31	eV per atom
# SG	Cmmm, No. 65



(3)
# Ce2Sm2Hg7 | Alexandria | PBE-GGA | relaxed
data_Ce2Sm2Hg7
_chemical_formula_sum 'Ce2 Sm2 Hg7'
_cell_length_a 7.0135
_cell_length_b 7.3031
_cell_length_c 7.0135
_cell_angle_alpha 90.00
_cell_angle_beta 101.82
_cell_angle_gamma 90.00
_symmetry_space_group_name_H-M 'P 1'
_symmetry_Int_Tables_number 1
loop_
_symmetry_equiv_pos_as_xyz
'x,y,z'
loop_
_atom_site_label
_atom_site_type_symbol
_atom_site_fract_x
_atom_site_fract_y
_atom_site_fract_z
_atom_site_occupancy
Ce1 Ce 0.7062 0.0000 0.2938 1
Ce2 Ce 0.2938 0.0000 0.7062 1
Sm1 Sm 0.8034 0.5000 0.8034 1
Sm2 Sm 0.1966 0.5000 0.1966 1
Hg1 Hg 0.9998 0.2936 0.5003 1
Hg2 Hg 0.5003 0.7064 0.9998 1
Hg3 Hg 0.0002 0.7064 0.4997 1
Hg4 Hg 0.4997 0.2936 0.0002 1
Hg5 Hg 0.0000 0.0000 0.0000 1
Hg6 Hg 0.5002 0.7092 0.4998 1
Hg7 Hg 0.4998 0.2908 0.5002 1
# M_tot	2.23	μB per formula unit
# formation energy from the elements	-0.03	eV per atom
# SG	Cmmm, No. 65



(4)
# Ce2SmHg | Alexandria | PBE-GGA | relaxed
data_Ce2SmHg
_chemical_formula_sum 'Ce2 Sm1 Hg1'
_cell_length_a 5.4568
_cell_length_b 5.4568
_cell_length_c 5.4568
_cell_angle_alpha 60.00
_cell_angle_beta 60.00
_cell_angle_gamma 60.00
_symmetry_space_group_name_H-M 'P 1'
_symmetry_Int_Tables_number 1
loop_
_symmetry_equiv_pos_as_xyz
'x,y,z'
loop_
_atom_site_label
_atom_site_type_symbol
_atom_site_fract_x
_atom_site_fract_y
_atom_site_fract_z
_atom_site_occupancy
Ce1 Ce 0.2500 0.2500 0.2500 1
Ce2 Ce 0.7500 0.7500 0.7500 1
Hg1 Hg 0.5000 0.5000 0.5000 1
Sm1 Sm 0.0000 0.0000 0.0000 1
# M_tot	2.74	μB per formula unit
# formation energy from the elements	0.04	eV per atom
# SG	Fm-3m, No. 225
# relative energy among the computed polymorphs	0.89	eV/f.u.



(5)
# Ce2SmHg | Alexandria | PBE-GGA | relaxed
data_Ce2SmHg
_chemical_formula_sum 'Ce2 Sm1 Hg1'
_cell_length_a 3.4510
_cell_length_b 3.4510
_cell_length_c 9.8373
_cell_angle_alpha 90.00
_cell_angle_beta 90.00
_cell_angle_gamma 90.00
_symmetry_space_group_name_H-M 'P 1'
_symmetry_Int_Tables_number 1
loop_
_symmetry_equiv_pos_as_xyz
'x,y,z'
loop_
_atom_site_label
_atom_site_type_symbol
_atom_site_fract_x
_atom_site_fract_y
_atom_site_fract_z
_atom_site_occupancy
Ce1 Ce 0.0000 0.0000 0.7701 1
Ce2 Ce 0.0000 0.0000 0.2299 1
Hg1 Hg 0.5000 0.5000 0.0000 1
Sm1 Sm 0.5000 0.5000 0.5000 1
# M_tot	1.85	μB per formula unit
# formation energy from the elements	-0.06	eV per atom
# SG	P4/mmm, No. 123
# relative energy among the computed polymorphs	0.50	eV/f.u.



(6)
# TbCe2SmHg4 | Alexandria | PBE-GGA | relaxed
data_TbCe2SmHg4
_chemical_formula_sum 'Tb1 Ce2 Sm1 Hg4'
_cell_length_a 5.3754
_cell_length_b 5.3754
_cell_length_c 9.3072
_cell_angle_alpha 73.22
_cell_angle_beta 73.22
_cell_angle_gamma 60.00
_symmetry_space_group_name_H-M 'P 1'
_symmetry_Int_Tables_number 1
loop_
_symmetry_equiv_pos_as_xyz
'x,y,z'
loop_
_atom_site_label
_atom_site_type_symbol
_atom_site_fract_x
_atom_site_fract_y
_atom_site_fract_z
_atom_site_occupancy
Tb1 Tb 0.5000 0.5000 0.5000 1
Ce1 Ce 0.7495 0.7495 0.7515 1
Ce2 Ce 0.2505 0.2505 0.2485 1
Sm1 Sm 0.0000 0.0000 0.0000 1
Hg1 Hg 0.3763 0.3763 0.8712 1
Hg2 Hg 0.8737 0.8737 0.3789 1
Hg3 Hg 0.1263 0.1263 0.6211 1
Hg4 Hg 0.6237 0.6237 0.1288 1
# M_tot	3.51	μB per formula unit
# formation energy from the elements	-0.37	eV per atom
# SG	R-3m, No. 166



no.,theoretical density (g/cm³)
1,9.87
2,10.28
3,9.37
4,9.12
5,8.95
6,10.53